Record 1
Below is Pm2Nd5ErTm after structural relaxation, with properties calculated at the GGA-PBE level.

Values from the calculation:
- M_tot: 0.00 μB per cell
- Density of states at the Fermi level: 27.0 states/eV per cell
- Energy of formation: 0.28 eV per atom
- SG: I4/mcm

Geometry as extended XYZ:
```
18
Lattice="-4.2804 4.2804 8.4676 4.2804 -4.2804 8.4676 4.2804 4.2804 -8.4676" Properties=species:S:1:pos:R:3 pbc="T T T"
Pm 5.3292 1.0488 0.0000
Pm 1.0488 3.2316 0.0000
Pm 3.2316 1.0488 8.4676
Pm -1.0488 3.2316 8.4676
Nd 0.0000 0.0000 0.0000
Nd 2.4075 1.8729 -2.4333
Nd 2.4075 -1.8729 6.0344
Nd 2.4075 1.8729 2.4333
Nd 2.4075 -1.8729 10.9009
Nd 0.0000 0.0000 8.4676
Nd 1.8729 6.1533 -2.4333
Nd 1.8729 2.4075 6.0344
Nd 1.8729 6.1533 2.4333
Nd 1.8729 2.4075 10.9009
Er 4.2804 0.0000 4.2338
Er 0.0000 4.2804 4.2338
Tm 0.0000 0.0000 4.2338
Tm 0.0000 0.0000 12.7015
```

---

Record 2
Below is PmNd6Er2Tm after structural relaxation, with properties calculated at the GGA-PBE level.

Values from the calculation:
- M_tot: 0.00 μB per cell
- Density of states at the Fermi level: 28.9 states/eV per cell
- Energy of formation: 0.12 eV per atom
- SG: C2/c

Geometry as extended XYZ:
```
20
Lattice="4.6592 -7.6405 0.0000 4.6592 7.6405 0.0000 -1.1455 0.0000 9.5547" Properties=species:S:1:pos:R:3 pbc="T T T"
Pm 3.8000 7.2018 7.1660
Pm 4.3728 -7.2018 2.3887
Nd 1.8557 4.2424 6.5659
Nd 4.0277 4.9303 0.5236
Nd 4.7179 4.9303 4.2537
Nd 2.7467 1.6856 8.4380
Nd 5.7443 4.2424 7.7662
Nd 4.8534 1.6856 5.8940
Nd 3.3194 -1.6856 3.6607
Nd 2.4285 -4.2424 1.7885
Nd 5.4261 -1.6856 1.1167
Nd 3.4549 -4.9303 5.3010
Nd 4.1451 -4.9303 9.0311
Nd 6.3171 -4.2424 2.9888
Er 1.7210 0.7465 5.2372
Er 2.2938 -0.7465 0.4598
Er 5.8790 0.7465 9.0949
Er 6.4518 -0.7465 4.3175
Tm 4.3728 1.3413 2.3887
Tm 3.8000 -1.3413 7.1660
```

---

Record 3
Below is Pm2NdErTm5 after structural relaxation, with properties calculated at the GGA-PBE level.

Values from the calculation:
- M_tot: 0.00 μB per cell
- Density of states at the Fermi level: 20.1 states/eV per cell
- Energy of formation: 0.27 eV per atom
- SG: I4/mcm

Geometry as extended XYZ:
```
18
Lattice="-4.3479 4.3479 7.6081 4.3479 -4.3479 7.6081 4.3479 4.3479 -7.6081" Properties=species:S:1:pos:R:3 pbc="T T T"
Pm 5.3557 1.0078 0.0000
Pm 1.0078 3.3401 0.0000
Pm 3.3401 1.0078 7.6081
Pm -1.0078 3.3401 7.6081
Nd 0.0000 0.0000 3.8041
Nd 0.0000 0.0000 11.4122
Er 4.3479 0.0000 3.8041
Er 0.0000 4.3479 3.8041
Tm 0.0000 0.0000 0.0000
Tm 2.5223 1.8256 -2.0868
Tm 2.5223 -1.8256 5.5213
Tm 2.5223 1.8256 2.0868
Tm 2.5223 -1.8256 9.6950
Tm 0.0000 0.0000 7.6081
Tm 1.8256 6.1735 -2.0868
Tm 1.8256 2.5223 5.5213
Tm 1.8256 6.1735 2.0868
Tm 1.8256 2.5223 9.6950
```

---

Record 4
Below is Pm2NdErTm2 after structural relaxation, with properties calculated at the GGA-PBE level.

Values from the calculation:
- M_tot: 0.00 μB per cell
- Density of states at the Fermi level: 19.0 states/eV per cell
- Energy of formation: 0.07 eV per atom
- SG: Pnnm

Geometry as extended XYZ:
```
12
Lattice="7.0067 0.0000 0.0000 0.0000 9.8041 0.0000 0.0000 0.0000 5.6351" Properties=species:S:1:pos:R:3 pbc="T T T"
Pm 1.7319 1.6335 0.0000
Pm 1.7714 6.5355 2.8175
Pm 5.2353 3.2685 2.8175
Pm 5.2748 8.1705 0.0000
Nd 0.0000 4.9020 0.0000
Nd 3.5034 0.0000 2.8175
Er 0.0000 0.0000 2.8175
Er 3.5034 4.9020 0.0000
Tm 1.7504 3.2679 2.8175
Tm 1.7530 8.1700 0.0000
Tm 5.2537 1.6341 0.0000
Tm 5.2563 6.5361 2.8175
```

---

Record 5
Below is Pm3NdEr6Tm2 after structural relaxation, with properties calculated at the GGA-PBE level.

Values from the calculation:
- M_tot: 0.00 μB per cell
- Density of states at the Fermi level: 15.3 states/eV per cell
- Energy of formation: 0.02 eV per atom
- SG: C2/m

Geometry as extended XYZ:
```
12
Lattice="3.0794 -5.3310 0.0000 3.0794 5.3310 0.0000 -2.0467 0.0000 11.5624" Properties=species:S:1:pos:R:3 pbc="T T T"
Pm 0.0000 0.0000 0.0000
Pm 3.0794 1.7799 0.0000
Pm 3.0794 -1.7799 0.0000
Nd 2.0560 0.0000 5.7812
Er 1.0220 1.7811 2.9174
Er 0.0028 0.0000 8.6447
Er 1.0220 -1.7811 2.9174
Er 3.0900 1.7811 8.6450
Er 4.1092 0.0000 2.9177
Er 3.0900 -1.7811 8.6450
Tm 2.0560 3.5523 5.7812
Tm 2.0560 -3.5523 5.7812
```

---

Record 6
Below is Pm2Nd6ErTm after structural relaxation, with properties calculated at the GGA-PBE level.

Values from the calculation:
- M_tot: 0.00 μB per cell
- Density of states at the Fermi level: 28.2 states/eV per cell
- Energy of formation: 0.11 eV per atom
- SG: C2/c

Geometry as extended XYZ:
```
20
Lattice="4.6211 -7.7052 0.0000 4.6211 7.7052 0.0000 -1.3676 0.0000 9.6619" Properties=species:S:1:pos:R:3 pbc="T T T"
Pm 2.2313 0.7720 0.4201
Pm 1.5475 -0.7720 5.2511
Pm 6.3271 0.7720 4.4108
Pm 5.6433 -0.7720 9.2418
Nd 2.4362 4.3015 1.8383
Nd 3.3115 4.9047 5.3557
Nd 3.8793 4.9047 9.1372
Nd 3.1460 1.6348 3.6907
Nd 6.1222 4.3015 2.9927
Nd 5.4124 1.6348 1.1403
Nd 2.4622 -1.6348 8.5216
Nd 1.7524 -4.3015 6.6693
Nd 4.7286 -1.6348 5.9712
Nd 3.9953 -4.9047 0.5248
Nd 4.5631 -4.9047 4.3062
Nd 5.4384 -4.3015 7.8236
Er 4.2792 7.3537 2.4155
Er 3.5954 -7.3537 7.2464
Tm 3.5954 1.3896 7.2464
Tm 4.2792 -1.3896 2.4155
```

---

Record 7
Below is Pm6Nd3ErTm2 after structural relaxation, with properties calculated at the GGA-PBE level.

Values from the calculation:
- M_tot: 0.00 μB per cell
- Density of states at the Fermi level: 15.8 states/eV per cell
- Energy of formation: 0.02 eV per atom
- SG: C2/m

Geometry as extended XYZ:
```
12
Lattice="3.1395 -5.4387 0.0000 3.1395 5.4387 0.0000 -2.0920 0.0000 11.7674" Properties=species:S:1:pos:R:3 pbc="T T T"
Pm -0.0025 1.8140 8.8883
Pm 1.0484 0.0000 2.8786
Pm -0.0025 -1.8140 8.8883
Pm 4.1896 1.8140 2.8791
Pm 3.1386 0.0000 8.8887
Pm 4.1896 -1.8140 2.8791
Nd -1.0460 0.0000 5.8837
Nd 2.0935 1.8133 5.8837
Nd 2.0935 -1.8133 5.8837
Er 3.1395 0.0000 0.0000
Tm 3.1395 3.6258 0.0000
Tm 3.1395 -3.6258 0.0000
```

---

Record 8
Below is Pm6NdEr3Tm2 after structural relaxation, with properties calculated at the GGA-PBE level.

Values from the calculation:
- M_tot: 0.00 μB per cell
- Density of states at the Fermi level: 13.9 states/eV per cell
- Energy of formation: 0.02 eV per atom
- SG: C2/m

Geometry as extended XYZ:
```
12
Lattice="3.1151 -5.3946 0.0000 3.1151 5.3946 0.0000 -2.0692 0.0000 11.6339" Properties=species:S:1:pos:R:3 pbc="T T T"
Pm 1.0348 1.8028 2.8904
Pm 0.0040 0.0000 8.7410
Pm 1.0348 -1.8028 2.8904
Pm 3.1263 1.8028 8.7436
Pm 4.1571 0.0000 2.8930
Pm 3.1263 -1.8028 8.7436
Nd 2.0806 0.0000 5.8170
Er 0.0000 0.0000 0.0000
Er 3.1151 1.8004 0.0000
Er 3.1151 -1.8004 0.0000
Tm 2.0806 3.5970 5.8170
Tm 2.0806 -3.5970 5.8170
```

---

Record 9
Below is Pm4NdEr2Tm after structural relaxation, with properties calculated at the GGA-PBE level.

Values from the calculation:
- M_tot: 0.00 μB per cell
- Density of states at the Fermi level: 10.8 states/eV per cell
- Energy of formation: 0.02 eV per atom
- SG: P2/m

Geometry as extended XYZ:
```
8
Lattice="6.2254 0.0000 0.0000 0.0000 3.6084 0.0000 -2.0878 0.0000 11.6915" Properties=species:S:1:pos:R:3 pbc="T T T"
Pm 1.0289 0.0000 2.8809
Pm -0.0097 1.8042 8.7914
Pm 4.1472 1.8042 2.9001
Pm 3.1086 0.0000 8.8106
Nd 2.0688 1.8042 5.8458
Er -1.0439 0.0000 5.8458
Er 0.0000 1.8042 0.0000
Tm 3.1127 0.0000 0.0000
```

---

Record 10
Below is PmNdEr2Tm4 after structural relaxation, with properties calculated at the GGA-PBE level.

Values from the calculation:
- M_tot: 4.90 μB per cell
- Density of states at the Fermi level: 35.2 states/eV per cell
- Energy of formation: 0.44 eV per atom
- SG: Imma

Geometry as extended XYZ:
```
16
Lattice="-3.3782 5.8558 6.6074 3.3782 -5.8558 6.6074 3.3782 5.8558 -6.6074" Properties=species:S:1:pos:R:3 pbc="T T T"
Pm 0.0000 0.0000 0.0000
Pm 0.0000 5.8558 0.0000
Nd -1.6891 2.9279 3.3037
Nd 1.6891 2.9279 3.3037
Er 1.6891 2.9279 -3.3037
Er 1.6891 -2.9279 3.3037
Er 3.3782 0.0000 0.0000
Er 0.0000 0.0000 6.6074
Tm 3.3782 -0.0431 3.2752
Tm 1.6958 2.9279 -0.0438
Tm 5.0607 2.9279 -0.0438
Tm 3.3782 5.8127 -3.2752
Tm 0.0000 0.0431 9.8826
Tm -1.6825 2.9279 6.6512
Tm 1.6825 2.9279 6.6512
Tm 0.0000 5.8990 3.3322
```

---

Record 11
Below is PmNd2Er5Tm after structural relaxation, with properties calculated at the GGA-PBE level.

Values from the calculation:
- M_tot: 0.00 μB per cell
- Density of states at the Fermi level: 21.0 states/eV per cell
- Energy of formation: 0.27 eV per atom
- SG: I4/mcm

Geometry as extended XYZ:
```
18
Lattice="-4.3375 4.3375 7.7163 4.3375 -4.3375 7.7163 4.3375 4.3375 -7.7163" Properties=species:S:1:pos:R:3 pbc="T T T"
Pm 0.0000 0.0000 3.8581
Pm 0.0000 0.0000 11.5744
Nd 5.3522 1.0147 0.0000
Nd 1.0147 3.3227 0.0000
Nd 3.3227 1.0147 7.7163
Nd -1.0147 3.3227 7.7163
Er 0.0000 0.0000 0.0000
Er 2.5056 1.8318 -2.1426
Er 2.5056 -1.8318 5.5736
Er 2.5056 1.8318 2.1426
Er 2.5056 -1.8318 9.8589
Er 0.0000 0.0000 7.7163
Er 1.8318 6.1693 -2.1426
Er 1.8318 2.5056 5.5736
Er 1.8318 6.1693 2.1426
Er 1.8318 2.5056 9.8589
Tm 4.3375 0.0000 3.8581
Tm 0.0000 4.3375 3.8581
```

---

Record 12
Below is PmNd2Er6Tm3 after structural relaxation, with properties calculated at the GGA-PBE level.

Values from the calculation:
- M_tot: 0.00 μB per cell
- Density of states at the Fermi level: 16.7 states/eV per cell
- Energy of formation: 0.02 eV per atom
- SG: C2/m

Geometry as extended XYZ:
```
12
Lattice="3.0723 -5.3163 0.0000 3.0723 5.3163 0.0000 -2.0449 0.0000 11.5307" Properties=species:S:1:pos:R:3 pbc="T T T"
Pm 0.0000 0.0000 0.0000
Nd 3.0723 1.7722 0.0000
Nd 3.0723 -1.7722 0.0000
Er 1.0297 1.7714 2.9388
Er -0.0037 0.0000 8.5918
Er 1.0297 -1.7714 2.9388
Er 3.0700 1.7714 8.5919
Er 4.1034 0.0000 2.9390
Er 3.0700 -1.7714 8.5919
Tm 2.0499 3.5446 5.7654
Tm 2.0499 0.0000 5.7654
Tm 2.0499 -3.5446 5.7654
```

---

Among the records above, which one has the highest density of states at the Fermi level? PmNdEr2Tm4

---

Repeat the fifth record exactly.
Below is Pm3NdEr6Tm2 after structural relaxation, with properties calculated at the GGA-PBE level.

Values from the calculation:
- M_tot: 0.00 μB per cell
- Density of states at the Fermi level: 15.3 states/eV per cell
- Energy of formation: 0.02 eV per atom
- SG: C2/m

Geometry as extended XYZ:
```
12
Lattice="3.0794 -5.3310 0.0000 3.0794 5.3310 0.0000 -2.0467 0.0000 11.5624" Properties=species:S:1:pos:R:3 pbc="T T T"
Pm 0.0000 0.0000 0.0000
Pm 3.0794 1.7799 0.0000
Pm 3.0794 -1.7799 0.0000
Nd 2.0560 0.0000 5.7812
Er 1.0220 1.7811 2.9174
Er 0.0028 0.0000 8.6447
Er 1.0220 -1.7811 2.9174
Er 3.0900 1.7811 8.6450
Er 4.1092 0.0000 2.9177
Er 3.0900 -1.7811 8.6450
Tm 2.0560 3.5523 5.7812
Tm 2.0560 -3.5523 5.7812
```

---

Which of these has the highest energy of formation? PmNdEr2Tm4